<one>
This record from Alexandria via LeMat-Bulk describes a geometry-optimized NaIn2Au9 structure. The functional is GGA-PBE.

Output
spin magnetization: 0.000 μB/f.u.
calculated volume: 19.42 Å³ per atom

Structure (CIF):
```
data_NaIn2Au9
_cell_length_a 9.5268
_cell_length_b 9.5268
_cell_length_c 2.9645
_cell_angle_alpha 90.00
_cell_angle_beta 90.00
_cell_angle_gamma 120.00
_symmetry_space_group_name_H-M 'P 6/m m m'
_symmetry_Int_Tables_number 191
_symmetry_space_group_name_Hall '-P 6 2'
loop_
_atom_site_label
_atom_site_fract_x
_atom_site_fract_y
_atom_site_fract_z
Na1 0.0000 0.0000 0.0000
In1 0.3333 0.6667 0.0000
Au1 0.0000 0.5000 0.0000
Au2 0.1720 0.3441 0.5000
```

<two>
This record from Alexandria via LeMat-Bulk describes a geometry-optimized NaIn2Au9 structure. The functional is GGA-PBE.

Output
spin magnetization: 0.000 μB/f.u.
calculated volume: 21.08 Å³ per atom

Structure (CIF):
```
data_NaIn2Au9
_cell_length_a 5.6275
_cell_length_b 5.6275
_cell_length_c 27.6715
_cell_angle_alpha 90.00
_cell_angle_beta 90.00
_cell_angle_gamma 120.00
_symmetry_space_group_name_H-M 'R -3 m'
_symmetry_Int_Tables_number 166
_symmetry_space_group_name_Hall '-R 3 2"'
loop_
_atom_site_label
_atom_site_fract_x
_atom_site_fract_y
_atom_site_fract_z
Na1 0.0000 0.0000 0.0000
In1 0.0000 0.0000 0.1405
Au1 0.0000 0.0000 0.3334
Au2 0.0000 0.0000 0.5000
Au3 0.0041 0.5020 0.9155
```

Which of them is the most stable? Correct choice: <two>.